{
  "formula": "Y4NiRh2",
  "functional": "PBE",
  "state": "optimized geometry",
  "dos_at_fermi_per_ev_cell": 3.55,
  "magnetic_moment_mub_per_cell": 0.0,
  "total_energy_ev_per_atom": -7.23,
  "cell": [[-2.8195, 2.9309, -2.5764], [-0.3642, -0.5848, -4.7648], [-7.1794, -4.1596, -1.3730]],
  "species": ["Y", "Y", "Y", "Y", "Ni", "Rh", "Rh"],
  "frac_coords": [[0.8753, 0.8753, 0.3742], [0.1247, 0.1247, 0.6258], [0.6246, 0.6246, 0.1262], [0.3754, 0.3754, 0.8738], [0.0000, 0.0000, 0.0000], [0.7487, 0.7487, 0.7538], [0.2513, 0.2513, 0.2462]]
}

{
  "formula": "Tb2CSe",
  "functional": "PBE",
  "state": "optimized geometry",
  "dos_at_fermi_per_ev_cell": 0.44,
  "formation_energy_uncorrected_mev_per_atom": -1146,
  "magnetic_moment_mub_per_cell": 0.0,
  "total_energy_ev_per_atom": -6.64,
  "cell": [[-1.7320, 0.3401, -3.3546], [0.8390, -3.4374, 1.3599], [-5.0149, 0.6747, 4.7996]],
  "species": ["Tb", "Tb", "C", "Se"],
  "frac_coords": [[0.5309, 0.2655, 0.7964], [0.4691, 0.7345, 0.2036], [0.0000, 0.0000, 0.0000], [0.0000, 0.5000, 0.5000]]
}

{
  "formula": "La2NdPuSe4",
  "functional": "PBE",
  "state": "optimized geometry",
  "dos_at_fermi_per_ev_cell": 11.08,
  "formation_energy_uncorrected_mev_per_atom": -1850,
  "magnetic_moment_mub_per_cell": 5.9,
  "total_energy_ev_per_atom": -7.21,
  "cell": [[4.2392, 0.0000, 0.0000], [0.0000, 7.3686, 0.1366], [0.0000, -2.5658, 6.9166]],
  "species": ["La", "La", "Nd", "Pu", "Se", "Se", "Se", "Se"],
  "frac_coords": [[0.5000, 0.0000, 0.5000], [0.0000, 0.5000, 0.5000], [0.0000, 0.0000, 0.0000], [0.5000, 0.5000, 0.0000], [0.5000, 0.2509, 0.2427], [0.5000, 0.7491, 0.7573], [0.0000, 0.2567, 0.7600], [0.0000, 0.7433, 0.2400]]
}

{
  "formula": "Ca2Cu",
  "functional": "PBE",
  "state": "optimized geometry",
  "dos_at_fermi_per_ev_cell": 7.09,
  "magnetic_moment_mub_per_cell": 0.0,
  "total_energy_ev_per_atom": -2.75,
  "cell": [[-6.4489, -1.9086, 4.5075], [7.3142, -2.8453, 1.9887], [0.7191, 3.6469, 2.5730]],
  "species": ["Ca", "Ca", "Ca", "Ca", "Ca", "Ca", "Cu", "Cu", "Cu"],
  "frac_coords": [[0.2573, 0.0000, 0.0000], [0.0000, 0.2573, 0.0000], [0.7427, 0.7427, 0.0000], [0.5921, 0.0000, 0.5000], [0.0000, 0.5921, 0.5000], [0.4079, 0.4079, 0.5000], [0.3333, 0.6667, 0.0000], [0.6667, 0.3333, 0.0000], [0.0000, 0.0000, 0.5000]]
}

{
  "formula": "Sm4Y9Cd11",
  "functional": "PBE",
  "state": "optimized geometry",
  "dos_at_fermi_per_ev_cell": 27.01,
  "magnetic_moment_mub_per_cell": 1.2,
  "total_energy_ev_per_atom": -3.89,
  "cell": [[-0.6228, 0.0127, -3.5076], [7.5415, -11.6414, -1.3813], [-13.3317, -3.3202, 2.3552]],
  "species": ["Sm", "Sm", "Sm", "Sm", "Y", "Y", "Y", "Y", "Y", "Y", "Y", "Y", "Y", "Cd", "Cd", "Cd", "Cd", "Cd", "Cd", "Cd", "Cd", "Cd", "Cd", "Cd"],
  "frac_coords": [[0.5000, 0.5811, 0.7495], [0.5000, 0.4189, 0.2505], [0.5000, 0.7495, 0.5811], [0.5000, 0.2505, 0.4189], [0.5000, 0.6176, 0.1530], [0.5000, 0.3824, 0.8470], [0.5000, 0.1530, 0.6176], [0.5000, 0.8470, 0.3824], [0.5000, 0.7936, 0.9819], [0.5000, 0.2064, 0.0181], [0.5000, 0.9819, 0.7936], [0.5000, 0.0181, 0.2064], [0.5000, 0.5000, 0.5000], [0.0000, 0.5885, 0.9511], [0.0000, 0.4115, 0.0489], [0.0000, 0.9511, 0.5885], [0.0000, 0.0489, 0.4115], [0.0000, 0.6313, 0.3687], [0.0000, 0.3687, 0.6313], [0.0000, 0.8187, 0.1813], [0.0000, 0.1813, 0.8187], [0.0000, 0.0000, 0.0000], [0.0000, 0.7903, 0.7903], [0.0000, 0.2097, 0.2097]]
}

{
  "formula": "CsPmZn2F8",
  "functional": "PBE",
  "state": "optimized geometry",
  "dos_at_fermi_per_ev_cell": 0.00,
  "formation_energy_uncorrected_mev_per_atom": -2921,
  "magnetic_moment_mub_per_cell": 0.1,
  "total_energy_ev_per_atom": -4.85,
  "cell": [[5.4789, 0.0000, 0.0000], [2.7395, 4.7449, 0.0000], [2.7395, 1.5816, 9.2624]],
  "species": ["Cs", "Pm", "Zn", "Zn", "F", "F", "F", "F", "F", "F", "F", "F"],
  "frac_coords": [[0.0000, 0.0000, 0.0000], [0.5000, 0.5000, 0.5000], [0.7513, 0.7513, 0.7460], [0.2487, 0.2487, 0.2540], [0.6844, 0.6844, 0.9467], [0.3156, 0.3156, 0.0533], [0.5279, 0.2424, 0.3448], [0.7576, 0.4721, 0.6552], [0.1150, 0.7576, 0.6552], [0.2424, 0.8850, 0.3448], [0.8850, 0.5279, 0.3448], [0.4721, 0.1150, 0.6552]]
}

{
  "formula": "HoZr2Pb",
  "functional": "PBE",
  "state": "optimized geometry",
  "dos_at_fermi_per_ev_cell": 3.97,
  "e_above_lowest_polymorph_mev_per_atom": 0.0,
  "magnetic_moment_mub_per_cell": 0.0,
  "total_energy_ev_per_atom": -6.67,
  "cell": [[4.4193, 0.0000, 0.0000], [0.0000, 4.3269, -0.8584], [0.0000, -0.0731, 10.9490]],
  "species": ["Ho", "Ho", "Zr", "Zr", "Zr", "Zr", "Pb", "Pb"],
  "frac_coords": [[0.2500, 0.3110, 0.6220], [0.7500, 0.6890, 0.3780], [0.7500, 0.4466, 0.8929], [0.2500, 0.5534, 0.1071], [0.2500, 0.9481, 0.8960], [0.7500, 0.0519, 0.1040], [0.7500, 0.8373, 0.6744], [0.2500, 0.1627, 0.3256]]
}